1.
VASP calculation (PBEsol) on a relaxed structure of ZnCo6Re.

Computed properties:
* magnetic moment: 11.8 μB/cell
* energy of formation: 0.0152 eV/atom
* volume: 348 Å³ per cell

abc: 6.0863 6.0863 9.9550
angles: 90.00 90.00 109.35
Closest atoms and distances in Å follow each position.
Fractional positions:
Zn (0.0000, 0.0000, 0.2493)  12 Co 2.48-2.51
Zn (0.0000, 0.0000, 0.7507)  12 Co 2.48-2.51
Zn (0.2511, 0.7489, 0.5000)  12 Co 2.47-2.52
Zn (0.7489, 0.2511, 0.5000)  12 Co 2.47-2.52
Co (0.0000, 0.0000, 0.0000)  2 Zn 2.48, 8 Co 2.49, 2 Re 2.50
Co (0.0000, 0.0000, 0.5000)  8 Co 2.48, 4 Zn 2.49-2.50
Co (0.1253, 0.3741, 0.3749)  1 Re 2.46, 8 Co 2.47-2.51, 3 Zn 2.49
Co (0.1253, 0.3741, 0.6251)  1 Re 2.46, 8 Co 2.47-2.51, 3 Zn 2.49
Co (0.1265, 0.3779, 0.1229)  8 Co 2.45-2.51, 3 Re 2.45-2.52, 1 Zn 2.51
Co (0.1265, 0.3779, 0.8771)  8 Co 2.45-2.51, 3 Re 2.45-2.52, 1 Zn 2.51
Co (0.2519, 0.7481, 0.2472)  8 Co 2.46-2.51, 2 Re 2.46-2.47, 2 Zn 2.50-2.52
Co (0.2519, 0.7481, 0.7528)  8 Co 2.46-2.51, 2 Re 2.46-2.47, 2 Zn 2.50-2.52
Co (0.3741, 0.1253, 0.3749)  1 Re 2.46, 8 Co 2.47-2.51, 3 Zn 2.49
Co (0.3741, 0.1253, 0.6251)  1 Re 2.46, 8 Co 2.47-2.51, 3 Zn 2.49
Co (0.3779, 0.1265, 0.1229)  8 Co 2.45-2.51, 3 Re 2.45-2.52, 1 Zn 2.51
Co (0.3779, 0.1265, 0.8771)  8 Co 2.45-2.51, 3 Re 2.45-2.52, 1 Zn 2.51
Co (0.5000, 0.5000, 0.0000)  4 Re 2.47-2.54, 8 Co 2.47
Co (0.5000, 0.5000, 0.5000)  2 Re 2.43, 2 Zn 2.47, 8 Co 2.49
Co (0.6221, 0.8735, 0.1229)  8 Co 2.45-2.51, 3 Re 2.45-2.52, 1 Zn 2.51
Co (0.6221, 0.8735, 0.8771)  8 Co 2.45-2.51, 3 Re 2.45-2.52, 1 Zn 2.51
Co (0.6259, 0.8747, 0.3749)  1 Re 2.46, 8 Co 2.47-2.51, 3 Zn 2.49
Co (0.6259, 0.8747, 0.6251)  1 Re 2.46, 8 Co 2.47-2.51, 3 Zn 2.49
Co (0.7481, 0.2519, 0.2472)  8 Co 2.46-2.51, 2 Re 2.46-2.47, 2 Zn 2.50-2.52
Co (0.7481, 0.2519, 0.7528)  8 Co 2.46-2.51, 2 Re 2.46-2.47, 2 Zn 2.50-2.52
Co (0.8735, 0.6221, 0.1229)  8 Co 2.45-2.51, 3 Re 2.45-2.52, 1 Zn 2.51
Co (0.8735, 0.6221, 0.8771)  8 Co 2.45-2.51, 3 Re 2.45-2.52, 1 Zn 2.51
Co (0.8747, 0.6259, 0.3749)  1 Re 2.46, 8 Co 2.47-2.51, 3 Zn 2.49
Co (0.8747, 0.6259, 0.6251)  1 Re 2.46, 8 Co 2.47-2.51, 3 Zn 2.49
Re (0.2516, 0.7484, 0.0000)  12 Co 2.45-2.50
Re (0.5000, 0.5000, 0.2554)  12 Co 2.43-2.54
Re (0.5000, 0.5000, 0.7446)  12 Co 2.43-2.54
Re (0.7484, 0.2516, 0.0000)  12 Co 2.45-2.50


2.
VASP calculation (PBEsol) on a relaxed structure of LiMnRu.

Computed properties:
* magnetic moment: 0.0 μB/cell
* energy of formation: 0.7619 eV/atom
* volume: 40 Å³ per cell
* energy above the most stable polymorph in this dataset: 0.496 eV/atom

abc: 3.8506 3.8506 3.8506
angles: 60.00 60.00 60.00
Closest atoms and distances in Å follow each position.
Fractional positions:
Li (0.0000, 0.0000, 0.0000)  4 Ru 2.36
Mn (0.5000, 0.5000, 0.5000)  4 Ru 2.36
Ru (0.7500, 0.7500, 0.7500)  4 Mn 2.36, 4 Li 2.36


3.
VASP calculation (PBEsol) on a relaxed structure of K5Re.

Computed properties:
* magnetic moment: 3.8 μB/cell
* energy of formation: 1.1191 eV/atom
* volume: 287 Å³ per cell

abc: 8.9877 8.9877 5.8164
angles: 90.00 90.00 142.36
Closest atoms and distances in Å follow each position.
Fractional positions:
K (0.0000, 0.0000, 0.0000)  8 K 3.79-3.81, 4 Re 4.11
K (0.1450, 0.8550, 0.5000)  2 Re 3.81, 6 K 3.81-4.11
K (0.3563, 0.6437, 0.0000)  6 K 3.79-4.11, 2 Re 3.80
K (0.6437, 0.3563, 0.0000)  6 K 3.79-4.11, 2 Re 3.80
K (0.8550, 0.1450, 0.5000)  2 Re 3.81, 6 K 3.81-4.11
Re (0.5000, 0.5000, 0.5000)  12 K 3.80-4.11


4.
VASP calculation (PBEsol) on a relaxed structure of BiSbSN2.

Computed properties:
* magnetic moment: 0.0 μB/cell
* volume: 94 Å³ per cell
* formation energy from raw total energies: 6.83 eV per formula unit
* energy above the most stable polymorph in this dataset: 0.516 eV/atom

abc: 4.2367 4.2367 5.2219
angles: 90.00 90.00 90.00
Closest atoms and distances in Å follow each position.
Fractional positions:
Bi (0.0000, 0.0000, 0.0000)  4 N 2.12
Sb (0.5000, 0.5000, 0.5000)  4 S 3.00
S (0.0000, 0.0000, 0.5000)  2 Bi 2.61
N (0.0000, 0.5000, 0.0000)  2 Bi 2.12
N (0.5000, 0.0000, 0.0000)  2 Bi 2.12


5.
VASP calculation (PBEsol) on a relaxed structure of InSiAu2.

Computed properties:
* magnetic moment: 0.0 μB/cell
* volume: 72 Å³ per cell
* formation energy from raw total energies: 0.51 eV per formula unit

abc: 5.0216 5.0216 5.0216
angles: 130.35 130.35 72.85
Closest atoms and distances in Å follow each position.
Fractional positions:
In (0.0000, 0.0000, 0.0000)  8 Au 2.92, 4 Si 2.98
Si (0.5000, 0.5000, 0.0000)  8 Au 2.92, 4 In 2.98
Au (0.2500, 0.7500, 0.5000)  4 In 2.92, 4 Si 2.92, 4 Au 2.98
Au (0.7500, 0.2500, 0.5000)  4 In 2.92, 4 Si 2.92, 4 Au 2.98


6.
VASP calculation (PBEsol) on a relaxed structure of Ce3Tl.

Computed properties:
* magnetic moment: 2.1 μB/cell
* energy of formation: -0.0973 eV/atom
* volume: 104 Å³ per cell

abc: 4.6997 4.6997 4.6997
angles: 90.00 90.00 90.00
Closest atoms and distances in Å follow each position.
Fractional positions:
Ce (0.0000, 0.0000, 0.5000)  4 Tl 3.32, 8 Ce 3.32
Ce (0.0000, 0.5000, 0.0000)  4 Tl 3.32, 8 Ce 3.32
Ce (0.5000, 0.0000, 0.0000)  4 Tl 3.32, 8 Ce 3.32
Tl (0.5000, 0.5000, 0.5000)  12 Ce 3.32


7.
VASP calculation (PBEsol) on a relaxed structure of ScZn.

Computed properties:
* magnetic moment: 1.4 μB/cell
* energy of formation: -0.0018 eV/atom
* volume: 71 Å³ per cell

abc: 4.6487 4.6487 4.6487
angles: 60.00 60.00 60.00
Closest atoms and distances in Å follow each position.
Fractional positions:
Sc (0.1250, 0.1250, 0.1250)  4 Sc 2.85, 4 Zn 2.85
Sc (0.8750, 0.8750, 0.8750)  4 Zn 2.85, 4 Sc 2.85
Zn (0.3750, 0.3750, 0.3750)  4 Zn 2.85, 4 Sc 2.85
Zn (0.6250, 0.6250, 0.6250)  4 Sc 2.85, 4 Zn 2.85


8.
VASP calculation (PBEsol) on a relaxed structure of AgPPb.

Computed properties:
* magnetic moment: 0.0 μB/cell
* energy of formation: 0.2415 eV/atom
* volume: 69 Å³ per cell
* energy above the most stable polymorph in this dataset: 0.147 eV/atom

abc: 4.6110 4.6110 4.6110
angles: 60.00 60.00 60.00
Closest atoms and distances in Å follow each position.
Fractional positions:
Ag (0.0000, 0.0000, 0.0000)  4 P 2.82
P (0.7500, 0.7500, 0.7500)  4 Pb 2.82, 4 Ag 2.82
Pb (0.5000, 0.5000, 0.5000)  4 P 2.82


Look up the magnetic moment of the sixth one. 2.1 μB/cell